No. 1
# KSi2Se

A relaxed KSi2Se crystal (PBE, Alexandria via LeMat-Bulk).

## Properties
Formation energy (no corrections)   1.61 eV/f.u.
Total magnetic moment   0.0 μB/f.u.
Symmetry   No. 47
Mass density   3.281 g cm⁻³
DFT total energy   -13.8 eV per cell

abc: 4.1789 4.1971 5.0278
angles: 90.00 90.00 90.00
Closest atoms and distances in Å follow each position.
Positions (direct):
K 0.0000 0.0000 0.0000  4 Se 2.96, 8 Si 3.27
Si 0.0000 0.5000 0.5000  4 Si 2.96, 4 Se 3.27, 4 K 3.27
Si 0.5000 0.0000 0.5000  4 Si 2.96, 4 K 3.27, 4 Se 3.27
Se 0.5000 0.5000 0.0000  4 K 2.96, 8 Si 3.27



No. 2
# KSi2Se

A relaxed KSi2Se crystal (PBE, Alexandria via LeMat-Bulk).

## Properties
Formation energy (no corrections)   1.98 eV/f.u.
Total magnetic moment   0.0 μB/f.u.
Symmetry   No. 216
Mass density   3.270 g cm⁻³
DFT total energy   -13.4 eV per cell

abc: 5.0014 5.0014 5.0014
angles: 60.00 60.00 60.00
Closest atoms and distances in Å follow each position.
Positions (direct):
K 0.0000 0.0000 0.0000  4 Se 3.06, 4 Si 3.06
Si 0.2500 0.2500 0.2500  4 K 3.06, 4 Si 3.06
Si 0.5000 0.5000 0.5000  4 Se 3.06, 4 Si 3.06
Se 0.7500 0.7500 0.7500  4 K 3.06, 4 Si 3.06



No. 3
# KSiSe2

A relaxed KSiSe2 crystal (PBE, Alexandria via LeMat-Bulk).

## Properties
Formation energy (no corrections)   -1.71 eV/f.u.
Total magnetic moment   0.0 μB/f.u.
Symmetry   No. 99
Mass density   3.335 g cm⁻³
DFT total energy   -15.2 eV per cell

abc: 3.7932 3.7932 7.7908
angles: 90.00 90.00 90.00
Closest atoms and distances in Å follow each position.
Positions (direct):
K 0.0000 0.0000 0.0000  5 Se 3.13-3.32
Si 0.5000 0.5000 0.4914  1 Se 2.21
Se 0.0000 0.0000 0.5743  4 Si 2.76
Se 0.5000 0.5000 0.2077  1 Si 2.21



No. 4
# K3SiSe

A relaxed K3SiSe crystal (PBE, Alexandria via LeMat-Bulk).

## Properties
Distance to the lowest polymorph of the same formula   0 meV per atom
Formation energy (no corrections)   -0.71 eV/f.u.
Total magnetic moment   3.0 μB/f.u.
Symmetry   No. 221
Mass density   1.525 g cm⁻³
DFT total energy   -12.9 eV per cell

abc: 6.2507 6.2507 6.2507
angles: 90.00 90.00 90.00
Closest atoms and distances in Å follow each position.
Positions (direct):
K 0.0000 0.0000 0.5000  2 Se 3.13
K 0.0000 0.5000 0.0000  2 Se 3.13
K 0.5000 0.0000 0.0000  2 Se 3.13
Si 0.5000 0.5000 0.5000  12 K 4.42
Se 0.0000 0.0000 0.0000  6 K 3.13



No. 5
# K2SiSe

A relaxed K2SiSe crystal (PBE, Alexandria via LeMat-Bulk).

## Properties
Distance to the lowest polymorph of the same formula   256 meV per atom
Formation energy (no corrections)   -0.32 eV/f.u.
Total magnetic moment   0.0 μB/f.u.
Symmetry   No. 122
Mass density   1.639 g cm⁻³
DFT total energy   -22.8 eV per cell

abc: 9.0111 9.0111 9.0111
angles: 94.43 94.43 147.73
Closest atoms and distances in Å follow each position.
Positions (direct):
K 0.3750 0.1789 0.3039  2 Se 3.19
K 0.8211 0.1250 0.1961  2 Se 3.19
K 0.8750 0.0711 0.6961  2 Se 3.19
K 0.9289 0.6250 0.8039  2 Se 3.19
Si 0.2500 0.7500 0.5000  2 Se 2.50
Si 0.5000 0.5000 0.0000  2 Se 2.50
Se 0.0000 0.0000 0.0000  2 Si 2.50
Se 0.7500 0.2500 0.5000  2 Si 2.50



No. 6
# KSi2Se

A relaxed KSi2Se crystal (PBE, Alexandria via LeMat-Bulk).

## Properties
Formation energy (no corrections)   0.20 eV/f.u.
Total magnetic moment   0.0 μB/f.u.
Symmetry   No. 12
Mass density   2.906 g cm⁻³
DFT total energy   -15.2 eV per cell

abc: 5.3461 5.3461 5.9437
angles: 105.18 105.18 37.58
Closest atoms and distances in Å follow each position.
Positions (direct):
K 0.0000 0.0000 0.0000  4 Se 3.43, 2 K 3.44, 8 Si 3.53-3.72
Si 0.2130 0.2130 0.6192  2 Si 2.47, 2 Se 2.70
Si 0.7870 0.7870 0.3808  2 Si 2.47, 2 Se 2.70
Se 0.5000 0.5000 0.5000  4 Si 2.70



No. 7
# KSi2Se

A relaxed KSi2Se crystal (PBE, Alexandria via LeMat-Bulk).

## Properties
Formation energy (no corrections)   1.66 eV/f.u.
Total magnetic moment   0.0 μB/f.u.
Symmetry   No. 139
Mass density   3.227 g cm⁻³
DFT total energy   -13.8 eV per cell

abc: 6.0462 6.0462 6.0462
angles: 140.24 140.24 57.49
Closest atoms and distances in Å follow each position.
Positions (direct):
K 0.0000 0.0000 0.0000  4 Se 2.91
Si 0.2500 0.7500 0.5000  4 Si 2.91
Si 0.7500 0.2500 0.5000  4 Si 2.91
Se 0.5000 0.5000 0.0000  4 K 2.91



No. 8
# K5Si2Se6

A relaxed K5Si2Se6 crystal (PBE, Alexandria via LeMat-Bulk).

## Properties
Formation energy (no corrections)   -12.00 eV/f.u.
Total magnetic moment   0.0 μB/f.u.
Symmetry   No. 15
Mass density   2.645 g cm⁻³
DFT total energy   -98.5 eV per cell

abc: 7.7229 7.7229 17.1385
angles: 99.61 99.61 65.37
Closest atoms and distances in Å follow each position.
Positions (direct):
K 0.1505 0.8495 0.7500  4 Se 3.36-3.40
K 0.1898 0.7216 0.0001  4 Se 3.33-3.48
K 0.2340 0.4462 0.2735  5 Se 3.26-3.41
K 0.2784 0.8102 0.4999  4 Se 3.33-3.48
K 0.4462 0.2340 0.7735  5 Se 3.26-3.41
K 0.5538 0.7660 0.2265  5 Se 3.26-3.41
K 0.7216 0.1898 0.5001  4 Se 3.33-3.48
K 0.7660 0.5538 0.7265  5 Se 3.26-3.41
K 0.8102 0.2784 0.9999  4 Se 3.33-3.48
K 0.8495 0.1505 0.2500  4 Se 3.36-3.40
Si 0.1420 0.4065 0.5730  4 Se 2.28-2.45
Si 0.4065 0.1420 0.0730  4 Se 2.28-2.45
Si 0.5935 0.8580 0.9270  4 Se 2.28-2.45
Si 0.8580 0.5935 0.4270  4 Se 2.28-2.45
Se 0.1046 0.1902 0.6397  1 Si 2.31
Se 0.1379 0.2937 0.4304  2 Si 2.42-2.45
Se 0.1902 0.1046 0.1397  1 Si 2.31
Se 0.2937 0.1379 0.9304  2 Si 2.42-2.45
Se 0.4045 0.4695 0.6253  1 Si 2.28
Se 0.4695 0.4045 0.1253  1 Si 2.28
Se 0.5305 0.5955 0.8747  1 Si 2.28
Se 0.5955 0.5305 0.3747  1 Si 2.28
Se 0.7063 0.8621 0.0696  2 Si 2.42-2.45
Se 0.8098 0.8954 0.8603  1 Si 2.31
Se 0.8621 0.7063 0.5696  2 Si 2.42-2.45
Se 0.8954 0.8098 0.3603  1 Si 2.31



No. 9
# KSi2Se

A relaxed KSi2Se crystal (PBE, Alexandria via LeMat-Bulk).

## Properties
Formation energy (no corrections)   1.97 eV/f.u.
Total magnetic moment   0.0 μB/f.u.
Symmetry   No. 65
Mass density   3.288 g cm⁻³
DFT total energy   -13.5 eV per cell

abc: 6.1846 6.1846 2.7642
angles: 90.00 90.00 123.67
Closest atoms and distances in Å follow each position.
Positions (direct):
K 0.0000 0.0000 0.0000  2 K 2.76, 2 Se 2.92
Si 0.0000 0.5000 0.5000  4 Si 2.76-2.92
Si 0.5000 0.0000 0.5000  4 Si 2.76-2.92
Se 0.5000 0.5000 0.0000  2 Se 2.76, 2 K 2.92



No. 10
# K2SiSe

A relaxed K2SiSe crystal (PBE, Alexandria via LeMat-Bulk).

## Properties
Distance to the lowest polymorph of the same formula   235 meV per atom
Formation energy (no corrections)   -0.40 eV/f.u.
Total magnetic moment   0.0 μB/f.u.
Symmetry   No. 99
Mass density   2.268 g cm⁻³
DFT total energy   -11.5 eV per cell

abc: 3.7015 3.7015 9.9007
angles: 90.00 90.00 90.00
Closest atoms and distances in Å follow each position.
Positions (direct):
K 0.0000 0.0000 0.0000  1 Se 3.32, 4 Si 3.58, 4 K 3.70
K 0.5000 0.5000 0.4230  1 Si 3.27, 4 Se 3.55
Si 0.5000 0.5000 0.7531  4 Se 2.76
Se 0.0000 0.0000 0.6648  4 Si 2.76



No. 11
# K2SiSe

A relaxed K2SiSe crystal (PBE, Alexandria via LeMat-Bulk).

## Properties
Distance to the lowest polymorph of the same formula   258 meV per atom
Formation energy (no corrections)   -0.31 eV/f.u.
Total magnetic moment   0.0 μB/f.u.
Symmetry   No. 139
Mass density   2.870 g cm⁻³
DFT total energy   -11.4 eV per cell

abc: 6.0799 6.0799 6.0799
angles: 135.95 135.95 64.05
Closest atoms and distances in Å follow each position.
Positions (direct):
K 0.2500 0.7500 0.5000  4 K 3.22, 4 Se 3.44, 4 Si 3.44
K 0.7500 0.2500 0.5000  4 K 3.22, 4 Se 3.44, 4 Si 3.44
Si 0.0000 0.0000 0.0000  4 Se 3.22, 8 K 3.44
Se 0.5000 0.5000 0.0000  4 Si 3.22, 8 K 3.44



No. 12
# K2SiSe

A relaxed K2SiSe crystal (PBE, Alexandria via LeMat-Bulk).

## Properties
Distance to the lowest polymorph of the same formula   307 meV per atom
Formation energy (no corrections)   -0.12 eV/f.u.
Total magnetic moment   0.0 μB/f.u.
Symmetry   No. 123
Mass density   2.794 g cm⁻³
DFT total energy   -11.2 eV per cell

abc: 3.3050 3.3050 10.0774
angles: 90.00 90.00 90.00
Closest atoms and distances in Å follow each position.
Positions (direct):
K 0.0000 0.0000 0.2309  4 Se 3.30, 4 K 3.31, 4 Si 3.58
K 0.0000 0.0000 0.7691  4 Se 3.30, 4 K 3.31, 4 Si 3.58
Si 0.5000 0.5000 0.5000  4 Si 3.31, 8 K 3.58
Se 0.5000 0.5000 0.0000  8 K 3.30, 4 Se 3.31